# Cs2RbTh2Te5 GGA-PBE optimized geometry
# * Fermi-level density of states: 0.204 states/eV/atom
# * E_tot: -4.4625 eV/atom
data_Cs2RbTh2Te5
_chemical_formula_sum 'Cs4 Rb2 Th4 Te10'
_space_group_name_H-M_alt 'P 4/m b m'
_space_group_IT_number 127
_space_group_name_Hall '-P 4 2ab'
_cell_length_a 14.310
_cell_length_b 14.310
_cell_length_c 4.168
_cell_angle_alpha 90.00
_cell_angle_beta 90.00
_cell_angle_gamma 90.00
loop_
_atom_site_label
_atom_site_type_symbol
_atom_site_fract_x
_atom_site_fract_y
_atom_site_fract_z
Cs1 Cs 0.184 0.316 0.000
Rb1 Rb 0.000 0.000 0.000
Th1 Th 0.117 0.617 0.000
Te1 Te 0.000 0.500 0.500
Te2 Te 0.069 0.775 0.500

# CsRb3Th2Te6 GGA-PBE optimized geometry
# * E_tot: -4.3197 eV/atom
data_CsRb3Th2Te6
_chemical_formula_sum 'Cs2 Rb6 Th4 Te12'
_space_group_name_H-M_alt 'C 1 2/m 1'
_space_group_IT_number 12
_cell_length_a 21.985
_cell_length_b 4.753
_cell_length_c 10.570
_cell_angle_alpha 90.00
_cell_angle_beta 104.77
_cell_angle_gamma 90.00
loop_
_space_group_symop_operation_xyz
'x,y,z'
'-x,-y,-z'
'-x,y,-z'
'x,-y,z'
'x+1/2,y+1/2,z'
'-x+1/2,-y+1/2,-z'
'-x+1/2,y+1/2,-z'
'x+1/2,-y+1/2,z'
loop_
_atom_site_label
_atom_site_type_symbol
_atom_site_fract_x
_atom_site_fract_y
_atom_site_fract_z
Cs1 Cs 0.000 0.000 0.000
Rb1 Rb 0.000 0.000 0.500
Rb2 Rb 0.154 0.500 0.834
Th1 Th 0.168 0.500 0.338
Te1 Te 0.028 0.500 0.275
Te2 Te 0.179 0.000 0.145
Te3 Te 0.179 0.000 0.552

# Cs4RbTh3Te8 GGA-PBE optimized geometry
# * Fermi-level density of states: 0.418 states/eV/atom
# * E_tot: -4.4261 eV/atom
data_Cs4RbTh3Te8
_chemical_formula_sum 'Cs12 Rb3 Th9 Te24'
_space_group_name_H-M_alt 'R -3 m'
_space_group_IT_number 166
_space_group_name_Hall '-R 3 2"'
_cell_length_a 9.5751
_cell_length_b 9.5751
_cell_length_c 26.6662
_cell_angle_alpha 90.00
_cell_angle_beta 90.00
_cell_angle_gamma 120.00
loop_
_atom_site_label
_atom_site_type_symbol
_atom_site_fract_x
_atom_site_fract_y
_atom_site_fract_z
Cs1 Cs 0.0000 0.0000 0.0000
Cs2 Cs 0.0000 0.5000 0.0000
Rb1 Rb 0.0000 0.0000 0.5000
Th1 Th 0.0000 0.5000 0.5000
Te1 Te 0.0000 0.0000 0.2309
Te2 Te 0.0311 0.5156 0.7681

# CsRbTlTe2 GGA-PBE optimized geometry
# * Fermi-level density of states: 0.171 states/eV/atom
# * E_tot: -2.6814 eV/atom
data_CsRbTlTe2
_chemical_formula_sum 'Cs4 Rb4 Tl4 Te8'
_space_group_name_H-M_alt 'C m m e'
_space_group_IT_number 67
_space_group_name_Hall '-C 2a 2'
_cell_length_a 7.635
_cell_length_b 16.318
_cell_length_c 7.653
_cell_angle_alpha 90.00
_cell_angle_beta 90.00
_cell_angle_gamma 90.00
loop_
_atom_site_label
_atom_site_type_symbol
_atom_site_fract_x
_atom_site_fract_y
_atom_site_fract_z
Cs1 Cs 0.000 0.250 0.238
Rb1 Rb 0.250 0.000 0.500
Tl1 Tl 0.000 0.000 0.000
Te1 Te 0.000 0.149 0.762

# Cs2Rb3UTe6 GGA-PBE optimized geometry
# * Fermi-level density of states: 1.160 states/eV/atom
# * E_tot: -3.7453 eV/atom
data_Cs2Rb3UTe6
_chemical_formula_sum 'Cs4 Rb6 U2 Te12'
_space_group_name_H-M_alt 'C 1 2/m 1'
_space_group_IT_number 12
_cell_length_a 9.253
_cell_length_b 15.694
_cell_length_c 8.628
_cell_angle_alpha 90.00
_cell_angle_beta 111.96
_cell_angle_gamma 90.00
loop_
_space_group_symop_operation_xyz
'x,y,z'
'-x,-y,-z'
'-x,y,-z'
'x,-y,z'
'x+1/2,y+1/2,z'
'-x+1/2,-y+1/2,-z'
'-x+1/2,y+1/2,-z'
'x+1/2,-y+1/2,z'
loop_
_atom_site_label
_atom_site_type_symbol
_atom_site_fract_x
_atom_site_fract_y
_atom_site_fract_z
Cs1 Cs 0.000 0.164 0.000
Rb1 Rb 0.000 0.000 0.500
Rb2 Rb 0.000 0.320 0.500
U1 U 0.000 0.500 0.000
Te1 Te 0.181 0.500 0.784
Te2 Te 0.204 0.366 0.214

# CsRbUTe3 GGA-PBE optimized geometry
# * Fermi-level density of states: 1.219 states/eV/atom
# * E_tot: -4.6023 eV/atom
data_CsRbUTe3
_chemical_formula_sum 'Cs4 Rb4 U4 Te12'
_space_group_name_H-M_alt 'C 1 2/c 1'
_space_group_IT_number 15
_cell_length_a 8.695
_cell_length_b 17.645
_cell_length_c 8.064
_cell_angle_alpha 90.00
_cell_angle_beta 104.12
_cell_angle_gamma 90.00
loop_
_space_group_symop_operation_xyz
'x,y,z'
'-x,-y,-z'
'-x,y,-z+1/2'
'x,-y,z+1/2'
'x+1/2,y+1/2,z'
'-x+1/2,-y+1/2,-z'
'-x+1/2,y+1/2,-z+1/2'
'x+1/2,-y+1/2,z+1/2'
loop_
_atom_site_label
_atom_site_type_symbol
_atom_site_fract_x
_atom_site_fract_y
_atom_site_fract_z
Cs1 Cs 0.000 0.244 0.250
Rb1 Rb 0.000 0.415 0.750
U1 U 0.000 0.050 0.750
Te1 Te 0.000 0.215 0.750
Te2 Te 0.219 0.050 0.507